Density functional theory data (GGA-PBE) for crystalline Zr4Ni2Ir at its relaxed geometry. Values from VASP.

Summary:
DOS(E_F): 0.65 states/eV per atom
Symmetry: No. 65
Spin magnetization: 0.00 μB per cell
Formation energy: -0.27 eV/atom
Raw total energy: -8.07 eV/atom

```
&SYSTEM
  ibrav = 0, nat = 7, ntyp = 3
/
ATOMIC_SPECIES
Zr 91.22 Zr.upf
Ni 58.69 Ni.upf
Ir 192.22 Ir.upf
CELL_PARAMETERS angstrom
4.218 0.000 1.344
0.000 4.701 0.000
-0.006 0.000 7.309
ATOMIC_POSITIONS crystal
Zr 0.391 0.500 0.218
Zr 0.124 0.000 0.752
Zr 0.876 0.000 0.248
Zr 0.609 0.500 0.782
Ni 0.206 0.500 0.587
Ni 0.794 0.500 0.413
Ir 0.500 0.000 0.000
```

***

Density functional theory data (GGA-PBE) for crystalline Nd2ErThSe5 at its relaxed geometry. Values from VASP.

Summary:
DOS(E_F): 0.99 states/eV per atom
Symmetry: No. 123
Spin magnetization: 0.00 μB per cell
Formation energy (no corrections): -1183 meV per atom
Raw total energy: -5.51 eV/atom

```
&SYSTEM
  ibrav = 0, nat = 9, ntyp = 4
/
ATOMIC_SPECIES
Er 167.26 Er.upf
Se 78.96 Se.upf
Nd 144.24 Nd.upf
Th 232.04 Th.upf
CELL_PARAMETERS angstrom
5.055 0.000 0.000
0.000 5.055 0.000
0.000 0.000 10.868
ATOMIC_POSITIONS crystal
Er 0.000 0.000 0.500
Se 0.500 0.500 0.000
Se 0.000 0.500 0.500
Se 0.000 0.000 0.751
Se 0.000 0.000 0.249
Se 0.500 0.000 0.500
Nd 0.500 0.500 0.703
Nd 0.500 0.500 0.297
Th 0.000 0.000 0.000
```

***

Density functional theory data (GGA-PBE) for crystalline AlTl2Hg at its relaxed geometry. Values from VASP.

Summary:
DOS(E_F): 0.42 states/eV per atom
Symmetry: No. 123
Spin magnetization: 0.00 μB per cell
Formation energy: 0.18 eV/atom
Raw total energy: -2.02 eV/atom

```
&SYSTEM
  ibrav = 0, nat = 4, ntyp = 3
/
ATOMIC_SPECIES
Al 26.98 Al.upf
Tl 204.38 Tl.upf
Hg 200.59 Hg.upf
CELL_PARAMETERS angstrom
3.708 0.000 0.000
0.000 3.708 0.000
0.000 0.000 7.685
ATOMIC_POSITIONS crystal
Al 0.500 0.500 0.250
Tl 0.000 0.000 0.011
Tl 0.000 0.000 0.489
Hg 0.500 0.500 0.750
```

***

Density functional theory data (GGA-PBE) for crystalline AcPr4Ir3 at its relaxed geometry. Values from VASP.

Summary:
DOS(E_F): 0.52 states/eV per atom
Symmetry: No. 9
Spin magnetization: 0.00 μB per cell
Formation energy: -0.53 eV/atom
Raw total energy: -6.76 eV/atom

```
&SYSTEM
  ibrav = 0, nat = 16, ntyp = 3
/
ATOMIC_SPECIES
Pr 140.91 Pr.upf
Ac 227.00 Ac.upf
Ir 192.22 Ir.upf
CELL_PARAMETERS angstrom
7.386 0.000 0.000
-3.693 6.442 -2.688
0.000 0.098 10.650
ATOMIC_POSITIONS crystal
Pr 0.726 0.782 0.050
Pr 0.283 0.208 0.935
Pr 0.464 0.595 0.335
Pr 0.056 0.782 0.550
Pr 0.870 0.414 0.128
Pr 0.925 0.208 0.435
Pr 0.544 0.414 0.628
Pr 0.131 0.595 0.835
Ac 0.674 0.990 0.737
Ac 0.316 0.990 0.237
Ir 0.697 0.393 0.373
Ir 0.697 0.393 0.873
Ir 0.295 0.592 0.084
Ir 0.897 0.806 0.307
Ir 0.908 0.806 0.807
Ir 0.297 0.592 0.584
```

***

Density functional theory data (GGA-PBE) for crystalline FeSiRh2 at its relaxed geometry. Values from VASP.

Summary:
DOS(E_F): 0.50 states/eV per atom
Symmetry: No. 123
Spin magnetization: 3.50 μB per cell
Formation energy (no corrections): -475 meV per atom
Raw total energy: -7.62 eV/atom

```
&SYSTEM
  ibrav = 0, nat = 4, ntyp = 3
/
ATOMIC_SPECIES
Fe 55.84 Fe.upf
Rh 102.91 Rh.upf
Si 28.09 Si.upf
CELL_PARAMETERS angstrom
-2.715 -0.795 -0.091
0.715 -2.552 0.992
-0.841 2.166 6.176
ATOMIC_POSITIONS crystal
Fe 0.500 0.500 0.750
Rh 0.000 0.000 0.028
Rh 0.000 0.000 0.472
Si 0.500 0.500 0.250
```